The following is a DFT calculation (GGA-PBE) of crystalline CuPbF2 at its relaxed geometry.

Values from the calculation:
The calculation puts the energy relative to the elements, uncorrected at -1.26 eV/atom. The space group is No. 166. The density of states at the Fermi level is 0.4 states/eV/cell. For the energy above the most stable polymorph in this dataset, the calculation gives 0 meV/atom. The calculation puts the magnetic moment at 0.00 μB per cell. Its crystal system is trigonal.

Unit cell a=7.9269 b=7.9269 c=7.9269 alpha=24.12 beta=24.12 gamma=24.12
Atoms (fractional coordinates):
Pb 0.5000 0.5000 0.5000
Cu 0.0000 0.0000 0.0000
F 0.9206 0.9206 0.9206
F 0.0794 0.0794 0.0794